## LiScTe (PBEsol)

Data for a relaxed structure of LiScTe.

Lattice parameters (Å, degrees): 6.544 6.544 6.544 90.00 90.00 90.00
Space group F-43m (No. 216)
Symmetry-distinct sites (fractional):
Li (0.000, 0.000, 0.000) (multiplicity 4)
Sc (0.000, 0.000, 0.500) (multiplicity 4)
Te (0.250, 0.250, 0.250) (multiplicity 4)

Calculated values
Energy above the most stable polymorph in this dataset (meV/atom): 0.0
Calculated total energy (Ha/atom): -0.169
D(E_F) (states/eV/cell): 8.32
Formation energy (no corrections) (meV per atom): -565.1